Computed, not measured: an optimized crystal structure of PmLuMg at the PBE-GGA level of DFT.

space group: P3m1
crystal system: trigonal
total DFT energy (no corrections): -10.71 eV/cell
distance to the lowest polymorph of the same formula: 86 meV per atom

Unit cell a=5.444 b=5.444 c=3.398 alpha=90.00 beta=90.00 gamma=120.00
Fractional coordinates of all 3 atoms:
1 Pm 0.000 0.000 0.000
2 Lu 0.333 0.667 0.432
3 Mg 0.667 0.333 0.673